Entry 1:
This record from the Alexandria database describes a relaxed structure of Re2MoAsRu. The functional is PBE.

a b c (Å): 4.4756 4.4756 4.5210
angles (deg): 90.00 90.00 90.00
With the nearest neighbours (Å) after each atom.
Atoms (fractional coordinates):
1 Re 0.0000 0.5000 0.0000  2 As 2.24
2 Re 0.5000 0.0000 0.0000  2 As 2.24
3 Mo 0.0000 0.0000 0.5000  2 As 2.26
4 As 0.0000 0.0000 0.0000  4 Re 2.24, 2 Mo 2.26
5 Ru 0.5000 0.5000 0.5000  4 Mo 3.16, 8 Re 3.18

The calculation puts the energy of formation at 8.335 eV per formula unit.

=====

Entry 2:
This record from the Alexandria database describes a relaxed structure of Ca2SiIr2. The functional is PBE.

a b c (Å): 6.3872 6.3872 4.8075
angles (deg): 90.00 90.00 90.00
With the nearest neighbours (Å) after each atom.
Atoms (fractional coordinates):
1 Ca 0.1742 0.3258 0.0000  6 Ir 2.92-3.15, 1 Ca 3.15
2 Ca 0.3258 0.8258 0.0000  6 Ir 2.92-3.15, 1 Ca 3.15
3 Ca 0.6742 0.1742 0.0000  6 Ir 2.92-3.15, 1 Ca 3.15
4 Ca 0.8258 0.6742 0.0000  6 Ir 2.92-3.15, 1 Ca 3.15
5 Si 0.0000 0.0000 0.5000  4 Ir 2.46
6 Si 0.5000 0.5000 0.5000  4 Ir 2.46
7 Ir 0.1431 0.6431 0.5000  2 Si 2.46, 1 Ir 2.59
8 Ir 0.3569 0.1431 0.5000  2 Si 2.46, 1 Ir 2.59
9 Ir 0.6431 0.8569 0.5000  2 Si 2.46, 1 Ir 2.59
10 Ir 0.8569 0.3569 0.5000  2 Si 2.46, 1 Ir 2.59

The raw total energy comes out at -0.218 Ha/atom.

=====

Entry 3:
This record from the Alexandria database describes a relaxed structure of Zn2InPN4. The functional is PBE.

a b c (Å): 6.4450 5.5754 5.2848
angles (deg): 90.00 90.00 90.00
With the nearest neighbours (Å) after each atom.
Atoms (fractional coordinates):
1 Zn 0.2478 0.1698 0.0000  4 N 2.04-2.08
2 Zn 0.2522 0.8302 0.5000  4 N 2.04-2.08
3 Zn 0.7478 0.8302 0.5000  4 N 2.04-2.08
4 Zn 0.7522 0.1698 0.0000  4 N 2.04-2.08
5 In 0.0000 0.3488 0.4987  4 N 2.16-2.18
6 In 0.5000 0.6512 0.9987  4 N 2.16-2.18
7 P 0.0000 0.6804 0.0011  4 N 1.66-1.68
8 P 0.5000 0.3196 0.5011  4 N 1.66-1.68
9 N 0.0000 0.3926 0.9095  1 P 1.68
10 N 0.0000 0.6952 0.3152  1 P 1.66
11 N 0.2091 0.8221 0.8870  1 P 1.67
12 N 0.2909 0.1779 0.3870  1 P 1.67
13 N 0.5000 0.3048 0.8152  1 P 1.66
14 N 0.5000 0.6074 0.4095  1 P 1.68
15 N 0.7091 0.1779 0.3870  1 P 1.67
16 N 0.7909 0.8221 0.8870  1 P 1.67

The raw total energy comes out at -0.212 Ha/atom.

=====

Entry 4:
This record from the Alexandria database describes a relaxed structure of SmTmSc4. The functional is PBE.

a b c (Å): 9.7879 9.7879 5.3138
angles (deg): 90.01 90.01 140.98
With the nearest neighbours (Å) after each atom.
Atoms (fractional coordinates):
1 Sm 0.1233 0.8767 0.7500  2 Tm 3.27, 12 Sc 3.47-3.50
2 Sm 0.8767 0.1233 0.2500  2 Tm 3.27, 12 Sc 3.47-3.50
3 Tm 0.3735 0.6265 0.2500  2 Sm 3.27, 12 Sc 3.46-3.50
4 Tm 0.6265 0.3735 0.7500  2 Sm 3.27, 12 Sc 3.46-3.50
5 Sc 0.0426 0.4598 0.7500  5 Sc 3.07-3.28
6 Sc 0.2126 0.2963 0.7511  5 Sc 3.07-3.33
7 Sc 0.2963 0.2126 0.2511  5 Sc 3.07-3.33
8 Sc 0.4598 0.0426 0.2500  5 Sc 3.07-3.28
9 Sc 0.5402 0.9574 0.7500  5 Sc 3.07-3.28
10 Sc 0.7037 0.7874 0.7489  5 Sc 3.07-3.33
11 Sc 0.7874 0.7037 0.2489  5 Sc 3.07-3.33
12 Sc 0.9574 0.5402 0.2500  5 Sc 3.07-3.28

The calculation puts the energy of formation at 0.387 eV per formula unit.

=====

Entry 5:
This record from the Alexandria database describes a relaxed structure of TaOs3O. The functional is PBE.

a b c (Å): 4.1119 4.1119 4.1119
angles (deg): 90.00 90.00 90.00
With the nearest neighbours (Å) after each atom.
Atoms (fractional coordinates):
1 Ta 0.0000 0.0000 0.0000  12 Os 2.91
2 Os 0.0000 0.5000 0.5000  2 O 2.06
3 Os 0.5000 0.0000 0.5000  2 O 2.06
4 Os 0.5000 0.5000 0.0000  2 O 2.06
5 O 0.5000 0.5000 0.5000  6 Os 2.06

The raw total energy comes out at -0.354 Ha/atom.

=====

Entry 6:
This record from the Alexandria database describes a relaxed structure of RbSiAuS3. The functional is PBE.

a b c (Å): 7.4713 7.4713 8.1241
angles (deg): 107.02 107.02 58.28
With the nearest neighbours (Å) after each atom.
Atoms (fractional coordinates):
1 Rb 0.1563 0.1563 0.2057  8 S 3.58-3.90
2 Rb 0.8437 0.8437 0.7943  8 S 3.58-3.90
3 Si 0.4444 0.4444 0.1241  4 S 2.12-2.19
4 Si 0.5556 0.5556 0.8759  4 S 2.12-2.19
5 Au 0.2585 0.7415 0.5000  2 S 2.33
6 Au 0.7415 0.2585 0.5000  2 S 2.33
7 S 0.1439 0.6417 0.2066  1 Si 2.12, 1 Au 2.33
8 S 0.3583 0.8561 0.7934  1 Si 2.12, 1 Au 2.33
9 S 0.3826 0.3826 0.8384  2 Si 2.17-2.19
10 S 0.6174 0.6174 0.1616  2 Si 2.17-2.19
11 S 0.6417 0.1439 0.2066  1 Si 2.12, 1 Au 2.33
12 S 0.8561 0.3583 0.7934  1 Si 2.12, 1 Au 2.33

The raw total energy comes out at -0.164 Ha/atom.

=====

Entry 7:
This record from the Alexandria database describes a relaxed structure of Mg3TlBiPb. The functional is PBE.

a b c (Å): 9.6824 9.6824 7.7077
angles (deg): 91.18 91.18 27.85
With the nearest neighbours (Å) after each atom.
Atoms (fractional coordinates):
1 Mg 0.0457 0.0457 0.3361  1 Bi 3.06, 3 Mg 3.09-3.21, 2 Tl 3.11, 1 Pb 3.17
2 Mg 0.2788 0.2788 0.1539  3 Bi 3.11-3.17, 1 Tl 3.25, 2 Pb 3.28, 3 Mg 3.37-3.41
3 Mg 0.3422 0.3422 0.7423  2 Bi 3.14, 3 Pb 3.17-3.31, 5 Mg 3.21-3.41
4 Mg 0.6578 0.6578 0.2577  2 Bi 3.14, 3 Pb 3.17-3.31, 5 Mg 3.21-3.41
5 Mg 0.7212 0.7212 0.8461  3 Bi 3.11-3.17, 1 Tl 3.25, 2 Pb 3.28, 3 Mg 3.37-3.41
6 Mg 0.9543 0.9543 0.6639  1 Bi 3.06, 3 Mg 3.09-3.21, 2 Tl 3.11, 1 Pb 3.17
7 Tl 0.4358 0.4358 0.3388  5 Mg 3.11-3.43, 1 Tl 3.43, 2 Pb 3.44
8 Tl 0.5642 0.5642 0.6612  5 Mg 3.11-3.43, 1 Tl 3.43, 2 Pb 3.44
9 Bi 0.1256 0.1256 0.9949  6 Mg 3.06-3.17
10 Bi 0.8744 0.8744 0.0051  6 Mg 3.06-3.17
11 Pb 0.1909 0.1909 0.5542  7 Mg 3.17-3.53, 2 Pb 3.34, 2 Tl 3.44
12 Pb 0.8091 0.8091 0.4458  7 Mg 3.17-3.53, 2 Pb 3.34, 2 Tl 3.44

The calculation puts the energy of formation at -0.278 eV per formula unit.

=====

Entry 8:
This record from the Alexandria database describes a relaxed structure of LaHoAu3. The functional is PBE.

a b c (Å): 14.3401 14.3401 4.6180
angles (deg): 90.00 90.00 165.10
With the nearest neighbours (Å) after each atom.
Atoms (fractional coordinates):
1 La 0.0739 0.9261 0.7500  10 Au 3.25-3.42
2 La 0.9261 0.0739 0.2500  10 Au 3.25-3.42
3 Ho 0.2070 0.7930 0.2500  7 Au 2.99-3.02
4 Ho 0.7930 0.2070 0.7500  7 Au 2.99-3.02
5 Au 0.3125 0.6875 0.2500  2 Au 2.92, 5 Ho 3.00-3.02
6 Au 0.3753 0.6247 0.7500  3 Au 2.78-2.92, 2 Ho 2.99
7 Au 0.4732 0.5268 0.7500  3 Au 2.77-2.78
8 Au 0.5268 0.4732 0.2500  3 Au 2.77-2.78
9 Au 0.6247 0.3753 0.2500  3 Au 2.78-2.92, 2 Ho 2.99
10 Au 0.6875 0.3125 0.7500  2 Au 2.92, 5 Ho 3.00-3.02

The calculation puts the energy of formation at -4.232 eV per formula unit.

=====

Entry 9:
This record from the Alexandria database describes a relaxed structure of NaLu2Cu. The functional is PBE.

a b c (Å): 3.3716 3.3716 9.2522
angles (deg): 90.00 90.00 90.00
With the nearest neighbours (Å) after each atom.
Atoms (fractional coordinates):
1 Na 0.0000 0.0000 0.0000  4 Na 3.37
2 Lu 0.5000 0.5000 0.3220  4 Cu 2.90
3 Lu 0.5000 0.5000 0.6780  4 Cu 2.90
4 Cu 0.0000 0.0000 0.5000  8 Lu 2.90

The calculation puts the energy of formation at 0.015 eV per formula unit.

=====

Entry 10:
This record from the Alexandria database describes a relaxed structure of Sr7CaN3. The functional is PBE.

a b c (Å): 7.7701 7.7701 6.8243
angles (deg): 90.00 90.00 120.00
With the nearest neighbours (Å) after each atom.
Atoms (fractional coordinates):
1 Sr 0.0000 0.0000 0.0000  3 N 2.69
2 Sr 0.1577 0.3153 0.5810  2 N 2.64
3 Sr 0.1577 0.8423 0.5810  2 N 2.64
4 Sr 0.5099 0.0198 0.0092  2 N 2.61
5 Sr 0.5099 0.4901 0.0092  2 N 2.61
6 Sr 0.6847 0.8423 0.5810  2 N 2.64
7 Sr 0.9802 0.4901 0.0092  2 N 2.61
8 Ca 0.6667 0.3333 0.6121  3 N 2.52
9 N 0.3398 0.1699 0.7934  1 Ca 2.52, 5 Sr 2.61-2.69
10 N 0.8301 0.1699 0.7934  1 Ca 2.52, 5 Sr 2.61-2.69
11 N 0.8301 0.6602 0.7934  1 Ca 2.52, 5 Sr 2.61-2.69

The raw total energy comes out at -0.146 Ha/atom.

=====

Entry 11:
This record from the Alexandria database describes a relaxed structure of KSeOF2. The functional is PBE.

a b c (Å): 4.6040 4.6040 3.8240
angles (deg): 90.00 90.00 90.00
With the nearest neighbours (Å) after each atom.
Atoms (fractional coordinates):
1 K 0.0000 0.0000 0.0000  8 F 2.99, 4 O 3.26
2 Se 0.5000 0.5000 0.5000  2 O 1.91
3 O 0.5000 0.5000 0.0000  2 Se 1.91
4 F 0.0000 0.5000 0.5000  2 Se 2.30
5 F 0.5000 0.0000 0.5000  2 Se 2.30

The raw total energy comes out at -0.152 Ha/atom.

=====

Entry 12:
This record from the Alexandria database describes a relaxed structure of HgMoC3. The functional is PBE.

a b c (Å): 4.1772 4.1772 4.1772
angles (deg): 90.00 90.00 90.00
With the nearest neighbours (Å) after each atom.
Atoms (fractional coordinates):
1 Hg 0.0000 0.0000 0.0000  12 C 2.95
2 Mo 0.5000 0.5000 0.5000  6 C 2.09
3 C 0.0000 0.5000 0.5000  2 Mo 2.09
4 C 0.5000 0.0000 0.5000  2 Mo 2.09
5 C 0.5000 0.5000 0.0000  2 Mo 2.09

The calculation puts the energy of formation at 10.017 eV per formula unit.